Entry 1:
Compound: PbAu2F
Source: the Alexandria database
Functional: GGA-PBE
Structure: optimized geometry

Unit cell a=4.799 b=4.799 c=4.799 alpha=60.00 beta=60.00 gamma=60.00
Element x y z (fractional)
Pb (0.000, 0.000, 0.000)
Au (0.250, 0.250, 0.250)
Au (0.750, 0.750, 0.750)
F (0.500, 0.500, 0.500)

ΔE to the lowest computed polymorph	0.256	eV/atom
SG	No. 225
calculated volume	19.5	A^3/atom
N(E_F)	1.42	states/eV/cell
E	-3.307	eV per atom
formation energy from raw total energies	-0.27	eV/atom

Entry 2:
Compound: Pb2AuF2
Source: the Alexandria database
Functional: GGA-PBE
Structure: optimized geometry

Unit cell a=5.515 b=5.515 c=5.515 alpha=126.11 beta=126.11 gamma=79.71
Element x y z (fractional)
Pb (0.250, 0.750, 0.500)
Pb (0.750, 0.250, 0.500)
Au (0.000, 0.000, 0.000)
F (0.339, 0.339, 0.000)
F (0.661, 0.661, 0.000)

ΔE to the lowest computed polymorph	0.082	eV/atom
SG	No. 139
calculated volume	21.2	A^3/atom
N(E_F)	1.84	states/eV/cell
E	-3.952	eV per atom
formation energy from raw total energies	-1.06	eV/atom

Entry 3:
Compound: Pb2AuF2
Source: the Alexandria database
Functional: GGA-PBE
Structure: optimized geometry

Unit cell a=7.803 b=7.803 c=3.173 alpha=90.00 beta=90.00 gamma=90.00
Element x y z (fractional)
Pb (0.193, 0.307, 0.000)
Pb (0.307, 0.807, 0.000)
Pb (0.693, 0.193, 0.000)
Pb (0.807, 0.693, 0.000)
Au (0.000, 0.000, 0.500)
Au (0.500, 0.500, 0.500)
F (0.122, 0.622, 0.500)
F (0.378, 0.122, 0.500)
F (0.622, 0.878, 0.500)
F (0.878, 0.378, 0.500)

ΔE to the lowest computed polymorph	0.000	eV/atom
SG	No. 127
calculated volume	19.3	A^3/atom
N(E_F)	2.26	states/eV/cell
E	-4.034	eV per atom
formation energy from raw total energies	-1.15	eV/atom

Entry 4:
Compound: Pb2AuF8
Source: the Alexandria database
Functional: GGA-PBE
Structure: optimized geometry

Unit cell a=6.878 b=6.878 c=6.248 alpha=112.01 beta=112.01 gamma=38.52
Element x y z (fractional)
Pb (0.165, 0.165, 0.116)
Pb (0.835, 0.835, 0.884)
Au (0.500, 0.500, 0.500)
F (0.010, 0.010, 0.210)
F (0.234, 0.234, 0.811)
F (0.359, 0.359, 0.550)
F (0.403, 0.403, 0.165)
F (0.597, 0.597, 0.835)
F (0.641, 0.641, 0.450)
F (0.766, 0.766, 0.189)
F (0.990, 0.990, 0.790)

SG	No. 12
calculated volume	15.4	A^3/atom
N(E_F)	4.63	states/eV/cell
E	-4.026	eV per atom
formation energy from raw total energies	-1.69	eV/atom

Entry 5:
Compound: PbAu2F8
Source: the Alexandria database
Functional: GGA-PBE
Structure: optimized geometry

Unit cell a=6.975 b=6.975 c=6.975 alpha=129.82 beta=129.82 gamma=73.69
Element x y z (fractional)
Pb (0.000, 0.000, 0.000)
Au (0.250, 0.750, 0.500)
Au (0.750, 0.250, 0.500)
F (0.036, 0.549, 0.837)
F (0.199, 0.036, 0.487)
F (0.288, 0.451, 0.487)
F (0.451, 0.964, 0.163)
F (0.549, 0.712, 0.513)
F (0.712, 0.199, 0.163)
F (0.801, 0.288, 0.837)
F (0.964, 0.801, 0.513)

SG	No. 97
calculated volume	17.8	A^3/atom
N(E_F)	0.00	states/eV/cell
E	-3.753	eV per atom
formation energy from raw total energies	-1.46	eV/atom

Entry 6:
Compound: PbAu2F
Source: the Alexandria database
Functional: GGA-PBE
Structure: optimized geometry

Unit cell a=6.319 b=6.319 c=6.319 alpha=99.80 beta=99.80 gamma=131.26
Element x y z (fractional)
Pb (0.000, 0.000, 0.000)
Pb (0.750, 0.250, 0.500)
Au (0.145, 0.625, 0.020)
Au (0.375, 0.395, 0.520)
Au (0.605, 0.125, 0.980)
Au (0.875, 0.855, 0.480)
F (0.250, 0.750, 0.500)
F (0.500, 0.500, 0.000)

ΔE to the lowest computed polymorph	0.000	eV/atom
SG	No. 122
calculated volume	21.6	A^3/atom
N(E_F)	2.61	states/eV/cell
E	-3.563	eV per atom
formation energy from raw total energies	-0.53	eV/atom

Entry 7:
Compound: RbPb2AuF
Source: the Alexandria database
Functional: GGA-PBE
Structure: optimized geometry

Unit cell a=6.537 b=6.537 c=5.847 alpha=90.00 beta=90.00 gamma=90.00
Element x y z (fractional)
Rb (0.000, 0.000, 0.000)
Pb (0.000, 0.500, 0.000)
Pb (0.500, 0.000, 0.000)
Au (0.000, 0.000, 0.500)
F (0.500, 0.500, 0.500)

SG	No. 123
calculated volume	50.0	A^3/atom
N(E_F)	6.44	states/eV/cell
E	-1.907	eV per atom
formation energy from raw total energies	0.80	eV/atom

Entry 8:
Compound: RuPb2AuF
Source: the Alexandria database
Functional: GGA-PBE
Structure: optimized geometry

Unit cell a=5.518 b=5.518 c=5.147 alpha=90.00 beta=90.00 gamma=90.00
Element x y z (fractional)
Ru (0.000, 0.000, 0.000)
Pb (0.000, 0.500, 0.500)
Pb (0.500, 0.000, 0.500)
Au (0.000, 0.000, 0.500)
F (0.500, 0.500, 0.000)

SG	No. 123
calculated volume	31.3	A^3/atom
N(E_F)	4.76	states/eV/cell
E	-3.688	eV per atom
formation energy from raw total energies	0.68	eV/atom

Entry 9:
Compound: Y2PbAuF
Source: the Alexandria database
Functional: GGA-PBE
Structure: optimized geometry

Unit cell a=4.740 b=4.740 c=5.056 alpha=90.00 beta=90.00 gamma=90.00
Element x y z (fractional)
Y (0.000, 0.500, 0.000)
Y (0.500, 0.000, 0.000)
Pb (0.000, 0.000, 0.500)
Au (0.500, 0.500, 0.500)
F (0.500, 0.500, 0.000)

SG	No. 123
calculated volume	22.7	A^3/atom
N(E_F)	2.72	states/eV/cell
E	-5.403	eV per atom
formation energy from raw total energies	-1.05	eV/atom

Entry 10:
Compound: ZrPb2AuF
Source: the Alexandria database
Functional: GGA-PBE
Structure: optimized geometry

Unit cell a=5.841 b=5.841 c=4.096 alpha=90.00 beta=90.00 gamma=90.00
Element x y z (fractional)
Zr (0.000, 0.000, 0.000)
Pb (0.000, 0.500, 0.000)
Pb (0.500, 0.000, 0.000)
Au (0.500, 0.500, 0.500)
F (0.000, 0.000, 0.500)

SG	No. 123
calculated volume	28.0	A^3/atom
N(E_F)	3.21	states/eV/cell
E	-4.715	eV per atom
formation energy from raw total energies	-0.49	eV/atom

Entry 11:
Compound: PdAuF4
Source: the Alexandria database
Functional: GGA-PBE
Structure: optimized geometry

Unit cell a=6.261 b=6.261 c=6.261 alpha=116.63 beta=116.63 gamma=95.95
Element x y z (fractional)
Pd (0.375, 0.625, 0.750)
Pd (0.625, 0.375, 0.250)
Au (0.125, 0.875, 0.250)
Au (0.875, 0.125, 0.750)
F (0.095, 0.648, 0.447)
F (0.298, 0.352, 0.947)
F (0.352, 0.298, 0.447)
F (0.352, 0.905, 0.053)
F (0.648, 0.095, 0.947)
F (0.648, 0.702, 0.553)
F (0.702, 0.648, 0.053)
F (0.905, 0.352, 0.553)

SG	No. 141
calculated volume	15.1	A^3/atom
N(E_F)	10.09	states/eV/cell
E	-3.517	eV per atom
formation energy from raw total energies	-0.86	eV/atom

Entry 12:
Compound: Pd3AuF
Source: the Alexandria database
Functional: GGA-PBE
Structure: optimized geometry

Unit cell a=4.351 b=4.351 c=4.351 alpha=90.00 beta=90.00 gamma=90.00
Element x y z (fractional)
Pd (0.000, 0.000, 0.500)
Pd (0.000, 0.500, 0.000)
Pd (0.500, 0.000, 0.000)
Au (0.500, 0.500, 0.500)
F (0.000, 0.000, 0.000)

ΔE to the lowest computed polymorph	0.000	eV/atom
SG	No. 221
calculated volume	16.5	A^3/atom
N(E_F)	6.50	states/eV/cell
E	-3.911	eV per atom
formation energy from raw total energies	0.23	eV/atom